Entry 1:
Entry from the Alexandria database: a crystal of PrMgSn relaxed with PBEsol (meta-GGA SCAN).

Cell and atoms, written as POSCAR:
```
PrMgSn
1.0
-2.240 2.240 8.047
2.240 -2.240 8.047
2.240 2.240 -8.047
Pr Mg Sn
2 2 2
direct
0.165 0.165 0.000
0.835 0.835 0.000
0.000 0.500 0.500
0.500 0.000 0.500
0.367 0.367 0.000
0.633 0.633 0.000
```

Output
total DFT energy (no corrections) = -172.71 eV for the cell shown
formation energy = -68.7 kJ/mol of atoms
space-group type = I4/mmm (139)
crystal system = tetragonal

Entry 2:
Entry from the Alexandria database: a crystal of Mg2CdAg relaxed with PBEsol (meta-GGA SCAN).

Cell and atoms, written as POSCAR:
```
Mg2CdAg
1.0
5.215 -1.609 0.000
5.215 1.609 0.000
-1.609 0.000 4.599
Mg Cd Ag
2 1 1
direct
0.000 0.000 0.000
0.224 0.224 0.665
0.469 0.469 0.475
0.738 0.738 0.167
```

Output
total DFT energy (no corrections) = -72.50 eV for the cell shown
formation energy = -18.5 kJ/mol of atoms
space-group type = Cm (8)
crystal system = monoclinic

Look up the total DFT energy (no corrections) of the second one. -72.50 eV for the cell shown

Among the records above, which one has the highest total DFT energy (no corrections)? Mg2CdAg

What is the total DFT energy (no corrections) in the second record? -72.50 eV for the cell shown